CdAg5Pd6 after structural relaxation, computed with PBE-GGA.

CIF file:
```
data_CdAg5Pd6
_space_group_name_H-M_alt 'P 1'
_space_group_IT_number 1
_space_group_name_Hall 'P 1'
_cell_length_a 4.895
_cell_length_b 5.811
_cell_length_c 7.030
_cell_angle_alpha 90.00
_cell_angle_beta 92.51
_cell_angle_gamma 90.00
loop_
_atom_site_label
_atom_site_type_symbol
_atom_site_fract_x
_atom_site_fract_y
_atom_site_fract_z
Cd1 Cd 0.000 0.000 0.000
Ag1 Ag 0.000 0.500 0.000
Ag2 Ag 0.336 0.500 0.666
Ag3 Ag 0.338 0.000 0.665
Ag4 Ag 0.662 0.000 0.335
Ag5 Ag 0.664 0.500 0.334
Pd1 Pd 0.163 0.250 0.333
Pd2 Pd 0.163 0.750 0.333
Pd3 Pd 0.500 0.250 0.000
Pd4 Pd 0.500 0.750 0.000
Pd5 Pd 0.837 0.250 0.667
Pd6 Pd 0.837 0.750 0.667
```

## Properties
* calculated density: 10.7 g cm⁻³
* magnetization: 0.00 μB/atom
* formation energy from the elements: -9 kJ per mole of atoms

Cd2Ag3Pd7 after structural relaxation, computed with PBE-GGA.

CIF file:
```
data_Cd2Ag3Pd7
_space_group_name_H-M_alt 'P 1'
_space_group_IT_number 1
_space_group_name_Hall 'P 1'
_cell_length_a 4.633
_cell_length_b 2.874
_cell_length_c 15.842
_cell_angle_alpha 90.00
_cell_angle_beta 93.48
_cell_angle_gamma 90.00
loop_
_atom_site_label
_atom_site_type_symbol
_atom_site_fract_x
_atom_site_fract_y
_atom_site_fract_z
Cd1 Cd 0.204 0.000 0.288
Cd2 Cd 0.796 0.000 0.712
Ag1 Ag 0.000 0.000 0.000
Ag2 Ag 0.275 0.500 0.617
Ag3 Ag 0.725 0.500 0.383
Pd1 Pd 0.183 0.500 0.144
Pd2 Pd 0.241 0.000 0.456
Pd3 Pd 0.315 0.000 0.842
Pd4 Pd 0.500 0.500 0.000
Pd5 Pd 0.685 0.000 0.158
Pd6 Pd 0.759 0.000 0.544
Pd7 Pd 0.817 0.500 0.856
```

## Properties
* calculated density: 10.2 g cm⁻³
* magnetization: 0.00 μB/atom
* formation energy from the elements: -2 kJ per mole of atoms

Cd6Ag5Pd after structural relaxation, computed with PBE-GGA.

CIF file:
```
data_Cd6Ag5Pd
_space_group_name_H-M_alt 'P 1'
_space_group_IT_number 1
_space_group_name_Hall 'P 1'
_cell_length_a 8.003
_cell_length_b 8.003
_cell_length_c 4.378
_cell_angle_alpha 105.69
_cell_angle_beta 105.69
_cell_angle_gamma 59.07
loop_
_atom_site_label
_atom_site_type_symbol
_atom_site_fract_x
_atom_site_fract_y
_atom_site_fract_z
Cd1 Cd 0.080 0.592 0.336
Cd2 Cd 0.237 0.763 0.000
Cd3 Cd 0.408 0.920 0.664
Cd4 Cd 0.592 0.080 0.336
Cd5 Cd 0.763 0.237 0.000
Cd6 Cd 0.920 0.408 0.664
Ag1 Ag 0.173 0.173 0.173
Ag2 Ag 0.336 0.336 0.836
Ag3 Ag 0.500 0.500 0.500
Ag4 Ag 0.664 0.664 0.164
Ag5 Ag 0.827 0.827 0.827
Pd1 Pd 0.000 0.000 0.500
```

## Properties
* calculated density: 9.6 g cm⁻³
* magnetization: 0.00 μB/atom
* formation energy from the elements: -11 kJ per mole of atoms

Cd2Ag2Pd7 after structural relaxation, computed with PBE-GGA.

CIF file:
```
data_Cd2Ag2Pd7
_space_group_name_H-M_alt 'P 1'
_space_group_IT_number 1
_space_group_name_Hall 'P 1'
_cell_length_a 6.550
_cell_length_b 6.550
_cell_length_c 4.991
_cell_angle_alpha 108.29
_cell_angle_beta 108.29
_cell_angle_gamma 90.79
loop_
_atom_site_label
_atom_site_type_symbol
_atom_site_fract_x
_atom_site_fract_y
_atom_site_fract_z
Cd1 Cd 0.188 0.812 0.000
Cd2 Cd 0.812 0.188 0.000
Ag1 Ag 0.399 0.399 0.668
Ag2 Ag 0.601 0.601 0.332
Pd1 Pd 0.000 0.000 0.500
Pd2 Pd 0.073 0.585 0.327
Pd3 Pd 0.255 0.255 0.044
Pd4 Pd 0.415 0.927 0.673
Pd5 Pd 0.585 0.073 0.327
Pd6 Pd 0.745 0.745 0.956
Pd7 Pd 0.927 0.415 0.673
```

## Properties
* calculated density: 10.3 g cm⁻³
* magnetization: 0.00 μB/atom
* formation energy from the elements: -8 kJ per mole of atoms

Cd5Ag5Pd2 after structural relaxation, computed with PBE-GGA.

CIF file:
```
data_Cd5Ag5Pd2
_space_group_name_H-M_alt 'P 1'
_space_group_IT_number 1
_space_group_name_Hall 'P 1'
_cell_length_a 6.732
_cell_length_b 6.732
_cell_length_c 9.310
_cell_angle_alpha 115.55
_cell_angle_beta 115.55
_cell_angle_gamma 36.31
loop_
_atom_site_label
_atom_site_type_symbol
_atom_site_fract_x
_atom_site_fract_y
_atom_site_fract_z
Cd1 Cd 0.000 0.000 0.000
Cd2 Cd 0.078 0.078 0.740
Cd3 Cd 0.250 0.250 0.268
Cd4 Cd 0.750 0.750 0.732
Cd5 Cd 0.922 0.922 0.260
Ag1 Ag 0.331 0.331 0.998
Ag2 Ag 0.414 0.414 0.742
Ag3 Ag 0.500 0.500 0.500
Ag4 Ag 0.586 0.586 0.258
Ag5 Ag 0.669 0.669 0.002
Pd1 Pd 0.165 0.165 0.503
Pd2 Pd 0.835 0.835 0.497
```

## Properties
* calculated density: 9.8 g cm⁻³
* magnetization: 0.00 μB/atom
* formation energy from the elements: -12 kJ per mole of atoms

Cd2Ag2Pd5 after structural relaxation, computed with PBE-GGA.

CIF file:
```
data_Cd2Ag2Pd5
_space_group_name_H-M_alt 'P 1'
_space_group_IT_number 1
_space_group_name_Hall 'P 1'
_cell_length_a 4.628
_cell_length_b 4.628
_cell_length_c 8.309
_cell_angle_alpha 90.40
_cell_angle_beta 90.40
_cell_angle_gamma 119.91
loop_
_atom_site_label
_atom_site_type_symbol
_atom_site_fract_x
_atom_site_fract_y
_atom_site_fract_z
Cd1 Cd 0.000 0.000 0.000
Cd2 Cd 0.668 0.332 0.500
Ag1 Ag 0.334 0.665 0.327
Ag2 Ag 0.335 0.666 0.673
Pd1 Pd 0.001 0.999 0.333
Pd2 Pd 0.001 0.999 0.667
Pd3 Pd 0.334 0.666 0.000
Pd4 Pd 0.667 0.333 0.167
Pd5 Pd 0.667 0.333 0.833
```

## Properties
* calculated density: 10.5 g cm⁻³
* magnetization: 0.00 μB/atom
* formation energy from the elements: -14 kJ per mole of atoms

Cd2AgPd2 after structural relaxation, computed with PBE-GGA.

CIF file:
```
data_Cd2AgPd2
_space_group_name_H-M_alt 'P 1'
_space_group_IT_number 1
_space_group_name_Hall 'P 1'
_cell_length_a 4.139
_cell_length_b 5.031
_cell_length_c 5.074
_cell_angle_alpha 80.90
_cell_angle_beta 65.99
_cell_angle_gamma 66.01
loop_
_atom_site_label
_atom_site_type_symbol
_atom_site_fract_x
_atom_site_fract_y
_atom_site_fract_z
Cd1 Cd 0.203 0.383 0.211
Cd2 Cd 0.797 0.617 0.789
Ag1 Ag 0.000 0.000 0.000
Pd1 Pd 0.408 0.794 0.391
Pd2 Pd 0.592 0.206 0.609
```

## Properties
* calculated density: 10.3 g cm⁻³
* magnetization: 0.00 μB/atom
* formation energy from the elements: -24 kJ per mole of atoms

CdAg2Pd8 after structural relaxation, computed with PBE-GGA.

CIF file:
```
data_CdAg2Pd8
_space_group_name_H-M_alt 'P 1'
_space_group_IT_number 1
_space_group_name_Hall 'P 1'
_cell_length_a 7.964
_cell_length_b 7.964
_cell_length_c 4.868
_cell_angle_alpha 107.54
_cell_angle_beta 107.54
_cell_angle_gamma 125.42
loop_
_atom_site_label
_atom_site_type_symbol
_atom_site_fract_x
_atom_site_fract_y
_atom_site_fract_z
Cd1 Cd 0.000 0.000 0.000
Ag1 Ag 0.317 0.683 0.500
Ag2 Ag 0.683 0.317 0.500
Pd1 Pd 0.102 0.379 0.731
Pd2 Pd 0.192 0.808 0.000
Pd3 Pd 0.379 0.102 0.731
Pd4 Pd 0.461 0.461 0.214
Pd5 Pd 0.539 0.539 0.786
Pd6 Pd 0.621 0.898 0.269
Pd7 Pd 0.808 0.192 0.000
Pd8 Pd 0.898 0.621 0.269
```

## Properties
* calculated density: 10.3 g cm⁻³
* magnetization: 0.00 μB/atom
* formation energy from the elements: 7 kJ per mole of atoms

Question: Among the records above, which one has the lowest calculated density?
Answer: Cd6Ag5Pd

Question: Look up the calculated density of the seventh one.
Answer: 10.3 g cm⁻³